A plane-wave DFT calculation with PBE was carried out for crystalline Be2SiNi at its relaxed geometry.

```
Be2SiNi
1.0
2.5709 0.0000 0.0000
0.0000 3.7158 0.0000
0.0000 0.0000 4.1434
Be Si Ni
2 1 1
Direct
0.0000 0.0000 0.0000
0.5000 0.5000 0.1361
0.5000 0.0000 0.4879
0.0000 0.5000 0.6646
```

## Properties
- Formation energy without anion corrections: -168 meV per atom

***

A plane-wave DFT calculation with PBE was carried out for crystalline Li2CrIr at its relaxed geometry.

```
Li2CrIr
1.0
5.7658 0.0000 0.0000
0.0000 5.7658 0.0000
0.0000 0.0000 5.7658
Li Cr Ir
8 4 4
Direct
0.2500 0.2500 0.2500
0.2500 0.2500 0.7500
0.2500 0.7500 0.2500
0.2500 0.7500 0.7500
0.7500 0.2500 0.2500
0.7500 0.2500 0.7500
0.7500 0.7500 0.2500
0.7500 0.7500 0.7500
0.0000 0.0000 0.0000
0.0000 0.5000 0.5000
0.5000 0.0000 0.5000
0.5000 0.5000 0.0000
0.0000 0.0000 0.5000
0.0000 0.5000 0.0000
0.5000 0.0000 0.0000
0.5000 0.5000 0.5000
```

## Properties
- ΔE to the lowest computed polymorph: 534 meV/atom
- Formation energy from the elements: 53.5 kJ per mole of atoms

***

A plane-wave DFT calculation with PBE was carried out for crystalline SmAgAu4 at its relaxed geometry.

```
SmAgAu4
1.0
6.7355 -3.6287 0.0000
6.7355 3.6287 0.0000
-1.7864 0.0000 5.1151
Sm Ag Au
2 2 8
Direct
0.2114 0.2114 0.1489
0.7886 0.7886 0.8511
0.4644 0.4644 0.2368
0.5356 0.5356 0.7632
0.0775 0.6841 0.4219
0.1864 0.8136 0.0000
0.3159 0.9225 0.5781
0.3168 0.3168 0.7327
0.6832 0.6832 0.2673
0.6841 0.0775 0.4219
0.8136 0.1864 0.0000
0.9225 0.3159 0.5781
```

## Properties
- ΔE to the lowest computed polymorph: 29 meV/atom
- Formation energy from the elements: -36.5 kJ per mole of atoms

***

A plane-wave DFT calculation with PBE was carried out for crystalline HgSbTe2 at its relaxed geometry.

```
HgSbTe2
1.0
6.2944 0.0000 0.0000
0.0000 6.2944 0.0000
0.0000 0.0000 16.1493
Hg Sb Te
4 4 8
Direct
0.0000 0.0000 0.0000
0.0000 0.5000 0.2500
0.5000 0.0000 0.7500
0.5000 0.5000 0.5000
0.0000 0.0000 0.5000
0.0000 0.5000 0.7500
0.5000 0.0000 0.2500
0.5000 0.5000 0.0000
0.2481 0.2500 0.6250
0.2500 0.7481 0.8750
0.2500 0.7519 0.3750
0.2519 0.2500 0.1250
0.7481 0.7500 0.1250
0.7500 0.2481 0.3750
0.7500 0.2519 0.8750
0.7519 0.7500 0.6250
```

## Properties
- ΔE to the lowest computed polymorph: 186 meV/atom
- Formation energy without anion corrections: 106 meV per atom

***

no.,density of states at the Fermi level (states/eV/atom),volume (Å³ per atom)
1,0.2252,9.895
2,1.7543,11.980
3,0.3003,20.837
4,0.3877,39.990